An optimized crystal structure of VCd2AuF. Source: Alexandria via LeMat-Bulk, functional GGA+U.

E   -2.6230 eV per atom
SG   P4/mmm

a b c (Å): 5.270 5.120 5.270
angles (deg): 90.00 90.00 90.00
Site moments in Bohr magnetons follow the coordinates.
Atoms (fractional coordinates):
Cd (0.000, 0.000, 0.500)  -0.04
Au (0.000, 0.000, 0.000)  0.01
Cd (0.500, 0.000, 0.000)  -0.04
F (0.500, 0.500, 0.500)  0.00
V (0.000, 0.500, 0.000)  2.83